# 1
Entry from the Alexandria database: a geometry-optimized Li2ZnMo structure (PBE).

a = 2.6316 Å, b = 2.6316 Å, c = 9.1220 Å
α = 90.00°, β = 90.00°, γ = 97.08°
Closest atoms and distances in Å follow each position.
Fractional positions:
Li (0.0000, 0.0000, 0.9797)  4 Li 2.63, 4 Zn 2.73-2.89
Li (0.5000, 0.5000, 0.2595)  4 Li 2.63, 2 Mo 2.89
Zn (0.5000, 0.5000, 0.7488)  4 Zn 2.63, 4 Li 2.73-2.89, 4 Mo 2.78-2.92
Mo (0.0000, 0.0000, 0.5120)  4 Mo 2.63, 4 Zn 2.78-2.92, 2 Li 2.89

Output
As for the crystal system: orthorhombic. As for the symmetry: Cmm2. The value obtained for the energy is -3.856 eV per atom.

***

# 2
Entry from the Alexandria database: a geometry-optimized HoTh3 structure (PBE).

a = 3.5532 Å, b = 6.1643 Å, c = 6.8780 Å
α = 116.62°, β = 104.97°, γ = 90.00°
Closest atoms and distances in Å follow each position.
Fractional positions:
Th (0.5000, 0.4997, 0.0000)  4 Ho 3.51-3.60, 8 Th 3.55-3.61
Th (0.2518, 0.5812, 0.5037)  9 Th 3.55-3.61, 3 Ho 3.56-3.59
Th (0.7482, 0.0775, 0.4963)  9 Th 3.55-3.61, 3 Ho 3.56-3.59
Ho (0.0000, 0.0083, 0.0000)  10 Th 3.51-3.60, 2 Ho 3.55

Output
As for the crystal system: orthorhombic. As for the symmetry: Imm2. The value obtained for the energy is -6.656 eV per atom.

***

# 3
Entry from the Alexandria database: a geometry-optimized Ce2DyYAs4 structure (PBE).

a = 4.1710 Å, b = 7.2102 Å, c = 7.2266 Å
α = 70.49°, β = 90.00°, γ = 90.00°
Closest atoms and distances in Å follow each position.
Fractional positions:
Ce (0.0000, 0.0000, 0.0000)  6 As 2.96
Ce (0.5000, 0.0000, 0.5000)  6 As 2.96
As (0.5000, 0.2541, 0.7483)  2 Dy 2.93, 1 Y 2.93, 3 Ce 2.96
As (0.0000, 0.2538, 0.2491)  1 Dy 2.93, 2 Y 2.93, 3 Ce 2.96
As (0.5000, 0.7459, 0.2517)  2 Dy 2.93, 1 Y 2.93, 3 Ce 2.96
As (0.0000, 0.7462, 0.7509)  1 Dy 2.93, 2 Y 2.93, 3 Ce 2.96
Dy (0.0000, 0.5000, 0.5000)  6 As 2.93
Y (0.5000, 0.5000, 0.0000)  6 As 2.93

Output
As for the crystal system: monoclinic. As for the symmetry: P2/m. The value obtained for the energy is -6.680 eV per atom.

***

# 4
Entry from the Alexandria database: a geometry-optimized SrMg2In6 structure (PBE).

a = 4.5135 Å, b = 8.2126 Å, c = 8.3188 Å
α = 119.58°, β = 105.74°, γ = 90.00°
Closest atoms and distances in Å follow each position.
Fractional positions:
In (0.3067, 0.1238, 0.6133)  4 In 2.90-3.00, 1 Mg 3.04
In (0.6933, 0.5105, 0.3867)  4 In 2.90-3.00, 1 Mg 3.04
In (0.6933, 0.8762, 0.3867)  4 In 2.90-3.00, 1 Mg 3.04
In (0.5000, 0.1767, 0.0000)  3 In 2.90, 4 Mg 3.11
In (0.5000, 0.8233, 0.0000)  3 In 2.90, 4 Mg 3.11
In (0.3067, 0.4895, 0.6133)  4 In 2.90-3.00, 1 Mg 3.04
Mg (0.1147, 0.1147, 0.2295)  6 In 3.04-3.11, 1 Mg 3.15
Mg (0.8853, 0.8853, 0.7705)  6 In 3.04-3.11, 1 Mg 3.15
Sr (0.0000, 0.5000, 0.0000)  12 In 3.48-3.80

Output
As for the crystal system: orthorhombic. As for the symmetry: Immm. The value obtained for the energy is -2.496 eV per atom.

***

# 5
Entry from the Alexandria database: a geometry-optimized U2Tc12P7 structure (PBE).

a = 3.9184 Å, b = 9.5571 Å, c = 9.5571 Å
α = 120.00°, β = 90.00°, γ = 90.00°
Closest atoms and distances in Å follow each position.
Fractional positions:
Tc (0.0000, 0.0555, 0.5434)  4 P 2.30-2.43
Tc (0.5000, 0.3856, 0.2836)  4 P 2.39-2.47
Tc (0.5000, 0.5457, 0.7604)  3 P 2.43-2.64
Tc (0.5000, 0.7164, 0.1020)  4 P 2.39-2.47
Tc (0.5000, 0.8980, 0.6144)  4 P 2.39-2.47
Tc (0.0000, 0.9617, 0.2314)  4 P 2.32-2.50
Tc (0.5000, 0.2147, 0.4543)  3 P 2.43-2.64
Tc (0.0000, 0.2697, 0.0383)  4 P 2.32-2.50
Tc (0.0000, 0.4879, 0.9445)  4 P 2.30-2.43
Tc (0.0000, 0.7686, 0.7303)  4 P 2.32-2.50
Tc (0.5000, 0.2396, 0.7853)  3 P 2.43-2.64
Tc (0.0000, 0.4566, 0.5121)  4 P 2.30-2.43
P (0.0000, 0.3333, 0.6667)  3 Tc 2.30
P (0.0000, 0.0407, 0.7838)  5 Tc 2.32-2.47
P (0.5000, 0.9310, 0.3761)  7 Tc 2.39-2.50
P (0.0000, 0.2162, 0.2569)  5 Tc 2.32-2.47
P (0.5000, 0.4451, 0.0690)  7 Tc 2.39-2.50
P (0.5000, 0.6239, 0.5549)  7 Tc 2.39-2.50
P (0.0000, 0.7431, 0.9593)  5 Tc 2.32-2.47
U (0.0000, 0.6667, 0.3333)  6 P 3.06, 12 Tc 3.16-3.41
U (0.5000, 0.0000, 0.0000)  6 P 3.01, 9 Tc 3.11-3.31

Output
As for the crystal system: hexagonal. As for the symmetry: P-6. The value obtained for the energy is -9.331 eV per atom.

***

# 6
Entry from the Alexandria database: a geometry-optimized FeNi3Cl structure (PBE).

a = 4.1084 Å, b = 4.1084 Å, c = 4.1084 Å
α = 90.00°, β = 90.00°, γ = 90.00°
Closest atoms and distances in Å follow each position.
Fractional positions:
Fe (0.5000, 0.5000, 0.5000)  12 Ni 2.91
Ni (0.5000, 0.0000, 0.0000)  2 Cl 2.05
Ni (0.0000, 0.0000, 0.5000)  2 Cl 2.05
Ni (0.0000, 0.5000, 0.0000)  2 Cl 2.05
Cl (0.0000, 0.0000, 0.0000)  6 Ni 2.05

Output
As for the crystal system: cubic. As for the symmetry: Pm-3m. The value obtained for the energy is -4.751 eV per atom. As for the energy relative to the elements, uncorrected: 0.78 eV/atom.

***

# 7
Entry from the Alexandria database: a geometry-optimized PSeBr2 structure (PBE).

a = 3.1599 Å, b = 3.1599 Å, c = 10.2389 Å
α = 90.00°, β = 90.00°, γ = 90.00°
Closest atoms and distances in Å follow each position.
Fractional positions:
P (0.5000, 0.5000, 0.0000)  8 Br 2.81
Br (0.0000, 0.0000, 0.1664)  4 P 2.81
Br (0.0000, 0.0000, 0.8336)  4 P 2.81
Se (0.5000, 0.5000, 0.5000)  4 Se 3.16

Output
As for the crystal system: tetragonal. As for the symmetry: P4/mmm. The value obtained for the energy is -2.359 eV per atom. As for the energy relative to the elements, uncorrected: 0.70 eV/atom.

***

# 8
Entry from the Alexandria database: a geometry-optimized Ti6AlIr structure (PBE).

a = 4.4209 Å, b = 5.5489 Å, c = 5.5489 Å
α = 108.12°, β = 90.00°, γ = 90.00°
Closest atoms and distances in Å follow each position.
Fractional positions:
Al (0.5000, 0.3774, 0.6226)  8 Ti 2.75-2.80
Ti (0.5000, 0.3566, 0.1201)  4 Ti 2.69-2.87, 2 Ir 2.70, 2 Al 2.75-2.80
Ti (0.5000, 0.8498, 0.1502)  10 Ti 2.69-2.90
Ti (0.0000, 0.6411, 0.3589)  10 Ti 2.69-2.90
Ti (0.5000, 0.8799, 0.6434)  4 Ti 2.69-2.87, 2 Ir 2.70, 2 Al 2.75-2.80
Ti (0.0000, 0.6380, 0.8737)  4 Ti 2.69-2.86, 2 Ir 2.74-2.81, 2 Al 2.77
Ti (0.0000, 0.1263, 0.3620)  4 Ti 2.69-2.86, 2 Ir 2.74-2.81, 2 Al 2.77
Ir (0.0000, 0.1305, 0.8695)  8 Ti 2.70-2.81

Output
As for the crystal system: orthorhombic. As for the symmetry: Amm2. The value obtained for the energy is -7.843 eV per atom.

***

# 9
Entry from the Alexandria database: a geometry-optimized In2GePd2 structure (PBE).

a = 7.7343 Å, b = 7.7343 Å, c = 3.2117 Å
α = 90.00°, β = 90.00°, γ = 90.00°
Closest atoms and distances in Å follow each position.
Fractional positions:
In (0.8397, 0.3397, 0.5000)  6 Pd 2.73-2.81
In (0.1603, 0.6603, 0.5000)  6 Pd 2.73-2.81
In (0.3397, 0.1603, 0.5000)  6 Pd 2.73-2.81
In (0.6603, 0.8397, 0.5000)  6 Pd 2.73-2.81
Pd (0.6375, 0.1375, 0.0000)  6 In 2.73-2.81, 2 Ge 3.00, 1 Pd 3.01
Pd (0.8625, 0.6375, 0.0000)  6 In 2.73-2.81, 2 Ge 3.00, 1 Pd 3.01
Pd (0.3625, 0.8625, 0.0000)  6 In 2.73-2.81, 2 Ge 3.00, 1 Pd 3.01
Pd (0.1375, 0.3625, 0.0000)  6 In 2.73-2.81, 2 Ge 3.00, 1 Pd 3.01
Ge (0.0000, 0.0000, 0.0000)  4 Pd 3.00, 2 Ge 3.21, 8 In 3.32
Ge (0.5000, 0.5000, 0.0000)  4 Pd 3.00, 2 Ge 3.21, 8 In 3.32

Output
As for the crystal system: tetragonal. As for the symmetry: P4/mbm. The value obtained for the energy is -4.368 eV per atom.

***

# 10
Entry from the Alexandria database: a geometry-optimized BaGaSn2Rh2 structure (PBE).

a = 4.7647 Å, b = 4.7647 Å, c = 6.3343 Å
α = 90.00°, β = 90.00°, γ = 90.00°
Closest atoms and distances in Å follow each position.
Fractional positions:
Sn (0.5000, 0.5000, 0.7576)  4 Rh 2.83, 1 Sn 3.07
Sn (0.5000, 0.5000, 0.2424)  4 Rh 2.83, 1 Sn 3.07
Rh (0.0000, 0.5000, 0.0000)  2 Ga 2.38
Rh (0.5000, 0.0000, 0.0000)  2 Ga 2.38
Ga (0.0000, 0.0000, 0.0000)  4 Rh 2.38
Ba (0.0000, 0.0000, 0.5000)  2 Ga 3.17

Output
As for the crystal system: tetragonal. As for the symmetry: P4/mmm. The value obtained for the energy is -5.111 eV per atom.